# ZrBeIr (PBE, relaxed)
# Energy relative to the lowest polymorph listed for this composition: 455.4 meV per atom
# VASP energy: -7.32 eV per atom
data_ZrBeIr
_cell_length_a 4.0698
_cell_length_b 4.0698
_cell_length_c 4.0698
_cell_angle_alpha 60.00
_cell_angle_beta 60.00
_cell_angle_gamma 60.00
_symmetry_space_group_name_H-M 'P 1'
_symmetry_Int_Tables_number 1
loop_
_symmetry_equiv_pos_as_xyz
'x,y,z'
loop_
_atom_site_label
_atom_site_fract_x
_atom_site_fract_y
_atom_site_fract_z
Be1 0.7500 0.7500 0.7500
Ir1 0.0000 0.0000 0.0000
Zr1 0.5000 0.5000 0.5000